# CaMn4O8 | Alexandria via LeMat-Bulk | GGA+U | relaxed
# total energy = -93.70 eV per formula unit
# ΔE to the lowest computed polymorph = 0.035 eV per atom
# theoretical density = 3.67 g/cm3
# Fermi-level density of states = 0.283 states/eV/atom
data_CaMn4O8
_space_group_name_H-M_alt 'R -3 m'
_space_group_IT_number 166
_space_group_name_Hall '-R 3 2"'
_cell_length_a 5.9948
_cell_length_b 5.9948
_cell_length_c 16.9070
_cell_angle_alpha 90.00
_cell_angle_beta 90.00
_cell_angle_gamma 120.00
loop_
_atom_site_label
_atom_site_type_symbol
_atom_site_fract_x
_atom_site_fract_y
_atom_site_fract_z
_atom_site_occupancy
Ca1 Ca 0.0000 0.0000 0.0000 1
Mn1 Mn 0.0000 0.0000 0.5000 1
Mn2 Mn 0.0000 0.5000 0.5000 1
O1 O 0.0000 0.0000 0.2253 1
O2 O 0.0280 0.5140 0.7728 1